Material: PdAuNF2
Method: DFT, PBE
State: optimized geometry

Cell lengths 4.614, 4.614, 3.752 Å; angles 90.00, 90.00, 90.00 degrees
Element x y z (fractional)
Pd: 0.000 0.000 0.000
Au: 0.500 0.500 0.500
N: 0.500 0.500 0.000
F: 0.000 0.500 0.500
F: 0.500 0.000 0.500

spin magnetization = 0.1719 μB per atom
calculated volume = 80 Å³/f.u.
offset from the most stable computed form = 0.321 eV/atom
uncorrected formation energy = 0.526 eV/atom